Record 1
Entry from Alexandria: a relaxed structure of Dy3Ho2 (PBE).

a b c (Å): 6.207 6.207 9.442
angles (deg): 111.66 111.66 82.93
Fractional positions:
Dy: 0.740 0.617 0.808
Dy: 0.108 0.108 0.000
Ho: 0.542 0.191 0.890
Dy: 0.809 0.932 0.192
Ho: 0.441 0.292 0.390
Ho: 0.300 0.652 0.110
Ho: 0.902 0.050 0.610
Dy: 0.182 0.559 0.692
Dy: 0.867 0.490 0.308
Dy: 0.358 0.858 0.500

Space-group type: Fdd2 (43)
Formation energy in eV/atom: 0.14
Calculated volume in Å³ per atom: 31.42

---

Record 2
Entry from Alexandria: a relaxed structure of Sm6Dy2Er3Zr (PBE).

a b c (Å): 6.139 6.139 11.684
angles (deg): 95.00 95.00 119.93
Fractional positions:
Dy: 0.667 0.333 0.000
Sm: 0.755 0.755 0.245
Er: 0.500 0.500 0.500
Er: 0.834 0.166 0.500
Sm: 0.591 0.918 0.754
Sm: 0.918 0.591 0.754
Dy: 0.333 0.667 0.000
Sm: 0.082 0.409 0.246
Sm: 0.409 0.082 0.246
Zr: 0.000 0.000 0.000
Sm: 0.245 0.245 0.755
Er: 0.166 0.834 0.500

Space-group type: C2/m (12)
Formation energy in eV/atom: 0.05
Calculated volume in Å³ per atom: 31.32

---

Record 3
Entry from Alexandria: a relaxed structure of In3SI7 (PBE).

a b c (Å): 7.413 8.318 8.318
angles (deg): 120.00 90.00 90.00
Fractional positions:
I: 0.550 0.832 0.168
I: 0.550 0.335 0.168
I: 0.008 0.667 0.333
S: 0.591 0.333 0.667
I: 0.018 0.167 0.833
In: 0.770 0.488 0.512
In: 0.770 0.488 0.976
I: 0.018 0.667 0.833
I: 0.550 0.832 0.665
I: 0.018 0.167 0.333
In: 0.770 0.024 0.512

Space-group type: P3m1 (156)
Uncorrected formation energy in meV per atom: -458.2
Calculated volume in Å³ per atom: 40.38

---

Record 4
Entry from Alexandria: a relaxed structure of Cs2U3HgSe8 (PBE).

a b c (Å): 8.395 8.395 10.131
angles (deg): 65.52 65.52 60.00
Each line ends with the local moment (μB).
Fractional positions:
Hg: 0.861 0.861 0.418  -0.01
Se: 0.235 0.235 0.837  -0.08
Se: 0.765 0.302 0.168  -0.08
Cs: 0.141 0.141 0.576  0.00
Se: 0.235 0.693 0.837  -0.08
U: 0.500 0.997 0.003  1.57
Se: 0.276 0.276 0.173  -0.06
U: 0.997 0.500 0.003  1.57
Se: 0.693 0.235 0.837  -0.08
Se: 0.723 0.723 0.832  -0.07
Cs: 0.500 0.500 0.500  0.00
Se: 0.765 0.765 0.168  -0.08
Se: 0.302 0.765 0.168  -0.08
U: 0.500 0.500 0.003  1.57

Space-group type: R3m (160)
Uncorrected formation energy in meV per atom: -1060.3
Calculated volume in Å³ per atom: 38.78

---

Record 5
Entry from Alexandria: a relaxed structure of ZrTcW2 (PBE).

a b c (Å): 4.558 4.558 4.558
angles (deg): 60.00 60.00 60.00
Fractional positions:
W: 0.750 0.750 0.750
Zr: 0.000 0.000 0.000
W: 0.250 0.250 0.250
Tc: 0.500 0.500 0.500

Space-group type: Fm-3m (225)
Formation energy in eV/atom: 0.06
Calculated volume in Å³ per atom: 16.74

---

Record 6
Entry from Alexandria: a relaxed structure of Sr3Mg3Hg2 (PBE).

a b c (Å): 6.476 8.929 17.757
angles (deg): 90.00 90.00 90.00
Fractional positions:
Hg: 0.618 0.617 0.390
Mg: 0.895 0.826 0.466
Hg: 0.882 0.117 0.390
Sr: 0.614 0.033 0.609
Sr: 0.614 0.033 0.891
Mg: 0.626 0.325 0.750
Sr: 0.868 0.831 0.250
Sr: 0.386 0.967 0.391
Mg: 0.105 0.174 0.966
Mg: 0.395 0.674 0.966
Sr: 0.368 0.669 0.750
Mg: 0.105 0.174 0.534
Mg: 0.895 0.826 0.034
Hg: 0.118 0.883 0.890
Sr: 0.386 0.967 0.109
Mg: 0.605 0.326 0.034
Mg: 0.874 0.825 0.750
Sr: 0.114 0.467 0.391
Hg: 0.618 0.617 0.110
Hg: 0.382 0.383 0.890
Sr: 0.132 0.169 0.750
Sr: 0.886 0.533 0.609
Mg: 0.395 0.674 0.534
Sr: 0.114 0.467 0.109
Hg: 0.118 0.883 0.610
Mg: 0.605 0.326 0.466
Hg: 0.882 0.117 0.110
Mg: 0.374 0.675 0.250
Sr: 0.632 0.331 0.250
Mg: 0.126 0.175 0.250
Hg: 0.382 0.383 0.610
Sr: 0.886 0.533 0.891

Space-group type: Pnma (62)
Formation energy in eV/atom: -0.28
Calculated volume in Å³ per atom: 32.09

---

Record 7
Entry from Alexandria: a relaxed structure of Ba6TlHg (PBE).

a b c (Å): 8.266 8.370 8.294
angles (deg): 59.70 78.61 66.96
Fractional positions:
Hg: 0.500 0.500 0.000
Ba: 0.750 0.071 0.364
Ba: 0.746 0.746 0.000
Ba: 0.250 0.929 0.636
Ba: 0.250 0.565 0.364
Ba: 0.750 0.435 0.636
Ba: 0.254 0.254 0.000
Tl: 0.000 0.000 0.000

Space-group type: C2/m (12)
Formation energy in eV/atom: -0.15
Calculated volume in Å³ per atom: 56.99

---

Record 8
Entry from Alexandria: a relaxed structure of Sr3Si2Pb2 (PBE).

a b c (Å): 4.547 4.909 10.383
angles (deg): 103.67 102.65 90.00
Fractional positions:
Pb: 0.855 0.355 0.711
Sr: 0.323 0.823 0.647
Si: 0.440 0.440 0.880
Pb: 0.145 0.645 0.289
Si: 0.560 0.560 0.120
Sr: 0.677 0.177 0.353
Sr: 0.000 0.000 0.000

Space-group type: Immm (71)
Uncorrected formation energy in meV per atom: -364.3
Calculated volume in Å³ per atom: 31.34

---

Record 9
Entry from Alexandria: a relaxed structure of Si2AgTe (PBE).

a b c (Å): 5.874 5.874 5.874
angles (deg): 142.88 137.27 57.86
Fractional positions:
Te: 0.250 0.750 0.500
Ag: 0.750 0.250 0.500
Si: 0.013 0.013 0.000
Si: 0.487 0.487 0.000

Space-group type: Immm (71)
Uncorrected formation energy in meV per atom: 550.8
Calculated volume in Å³ per atom: 20.57

---

Record 10
Entry from Alexandria: a relaxed structure of CdPd2Au (PBE).

a b c (Å): 6.134 6.134 6.134
angles (deg): 54.19 153.46 133.67
Fractional positions:
Cd: 0.000 0.000 0.000
Au: 0.000 0.500 0.500
Pd: 0.000 0.750 0.750
Pd: 0.000 0.250 0.250

Space-group type: Immm (71)
Formation energy in eV/atom: 0.07
Calculated volume in Å³ per atom: 18.55

---

Record 11
Entry from Alexandria: a relaxed structure of MnOsRh2 (PBE).

a b c (Å): 2.805 4.522 4.490
angles (deg): 90.00 90.00 90.00
Each line ends with the local moment (μB).
Fractional positions:
Rh: 0.000 0.000 0.000  0.15
Rh: 0.500 0.500 0.000  0.00
Mn: 0.500 0.000 0.500  3.29
Os: 0.000 0.500 0.500  -0.15

Space-group type: Pmmm (47)
Formation energy in eV/atom: 0.24
Calculated volume in Å³ per atom: 14.24

---

Record 12
Entry from Alexandria: a relaxed structure of Ta5P2 (PBE).

a b c (Å): 5.508 6.147 7.439
angles (deg): 95.20 111.73 90.00
Fractional positions:
Ta: 0.397 0.750 0.000
Ta: 0.999 0.076 0.815
P: 0.566 0.916 0.779
Ta: 0.001 0.924 0.185
Ta: 0.184 0.424 0.185
Ta: 0.850 0.286 0.451
P: 0.213 0.416 0.779
Ta: 0.150 0.714 0.549
Ta: 0.601 0.786 0.451
Ta: 0.816 0.576 0.815
Ta: 0.603 0.250 0.000
P: 0.787 0.584 0.221
P: 0.434 0.084 0.221
Ta: 0.399 0.214 0.549

Space-group type: C2/c (15)
Formation energy in eV/atom: -0.53
Calculated volume in Å³ per atom: 16.63

---

Uncorrected energy values, unit eV per atom, following the record order: -4.4520, -4.9288, -2.5667, -5.6139, -11.1411, -1.5864, -1.9231, -3.6940, -3.6589, -3.5696, -8.5398, -10.5443.